This record from Alexandria via LeMat-Bulk describes an optimized crystal structure of Rb2Mo3O10. The functional is GGA+U.

Computed properties:
Total energy, eV/atom: -6.6087
Volume, Å³/f.u.: 284.5
SG: C2/c
Total moment, Bohr magnetons per cell: 0.0

Cell: 8.434 8.434 9.332 Å, 97.02 97.02 59.97°
Fractional coordinates of all 30 atoms:
Rb 0.091 0.269 0.160
Rb 0.269 0.091 0.660
Rb 0.731 0.909 0.340
Rb 0.909 0.731 0.840
Mo 0.217 0.783 0.250
Mo 0.320 0.469 0.480
Mo 0.469 0.320 0.980
Mo 0.531 0.680 0.020
Mo 0.680 0.531 0.520
Mo 0.783 0.217 0.750
O 0.035 0.860 0.117
O 0.140 0.965 0.383
O 0.156 0.609 0.322
O 0.174 0.556 0.620
O 0.249 0.352 0.923
O 0.352 0.249 0.423
O 0.391 0.844 0.178
O 0.395 0.556 0.093
O 0.444 0.605 0.407
O 0.444 0.826 0.880
O 0.556 0.174 0.120
O 0.556 0.395 0.593
O 0.605 0.444 0.907
O 0.609 0.156 0.822
O 0.648 0.751 0.577
O 0.751 0.648 0.077
O 0.826 0.444 0.380
O 0.844 0.391 0.678
O 0.860 0.035 0.617
O 0.965 0.140 0.883